Below is a geometry-optimized ThP2PdRh5 structure, with properties calculated at the PBE-GGA level.

```
ThP2PdRh5
1.0
4.088 0.000 0.000
0.000 4.088 0.000
0.000 0.000 8.658
Th P Pd Rh
1 2 1 5
direct
0.000 0.000 0.000 Th
0.500 0.500 0.373 P
0.500 0.500 0.627 P
0.000 0.000 0.500 Pd
0.000 0.500 0.253 Rh
0.000 0.500 0.747 Rh
0.500 0.000 0.253 Rh
0.500 0.000 0.747 Rh
0.500 0.500 0.000 Rh
```

Computed properties:
* VASP energy: -7.327 eV/atom
* calculated volume: 144.7 Å³ per cell
* total magnetization: 0.00 μB per formula unit